Computed, not measured: a geometry-optimized SrLa2YO structure at the PBE-GGA level of DFT.

The structure belongs to space group P4/mmm (No. 123); the cell edges are 5.1447, 5.1447 and 5.5091 Å and the angles 90.00°, 90.00° and 90.00°. Symmetry generates all atoms from Sr at (0.0000, 0.0000, 0.0000), La at (0.0000, 0.5000, 0.5000), Y at (0.5000, 0.5000, 0.0000) and O at (0.0000, 0.0000, 0.5000).

The calculation puts the total energy at -5.58 eV per atom.

---

Computed, not measured: a geometry-optimized SrLa2ZnO structure at the PBE-GGA level of DFT.

The structure belongs to space group P4/mmm (No. 123); the cell edges are 5.0322, 5.0322 and 5.1608 Å and the angles 90.00°, 90.00° and 90.00°. Symmetry generates all atoms from Sr at (0.0000, 0.0000, 0.0000), La at (0.0000, 0.5000, 0.5000), Zn at (0.5000, 0.5000, 0.0000) and O at (0.0000, 0.0000, 0.5000).

The calculation puts the total energy at -4.69 eV per atom.

---

Computed, not measured: a geometry-optimized SrLa2ZnO5 structure at the PBE-GGA level of DFT.

The structure belongs to space group I4/mcm (No. 140); the cell edges are 6.8767, 6.8767 and 11.5273 Å and the angles 90.00°, 90.00° and 90.00°. Symmetry generates all atoms from Sr at (0.0000, 0.0000, 0.2500), La at (0.1745, 0.3255, 0.0000), Zn at (0.0000, 0.5000, 0.2500), O at (0.0000, 0.0000, 0.0000) and O at (0.1500, 0.3500, 0.3643).

The calculation puts the total energy at -6.97 eV per atom.

---

Computed, not measured: a geometry-optimized LaTa3O9 structure at the PBE-GGA level of DFT.

The structure belongs to space group Pnma (No. 62); the cell edges are 6.6198, 7.7536 and 12.6763 Å and the angles 90.00°, 90.00° and 90.00°. Symmetry generates all atoms from La at (0.0507, 0.2500, 0.0268), Ta at (0.0000, 0.0000, 0.5000), Ta at (0.2167, 0.0021, 0.7846), O at (0.0263, 0.0313, 0.6563), O at (0.0629, 0.7500, 0.5196), O at (0.0913, 0.0205, 0.1669), O at (0.1901, 0.2500, 0.8180), O at (0.2066, 0.7500, 0.7984) and O at (0.2141, 0.5269, 0.9582).

As for the energy above the most stable polymorph in this dataset: 19 meV/atom.

---

Computed, not measured: a geometry-optimized La2TaO structure at the PBE-GGA level of DFT.

The structure belongs to space group I-42d (No. 122); the cell edges are 7.1168, 7.1168 and 8.3169 Å and the angles 90.00°, 90.00° and 90.00°. Symmetry generates all atoms from La at (0.1553, 0.7500, 0.1250), Ta at (0.0000, 0.0000, 0.5000) and O at (0.0000, 0.0000, 0.0000).

The calculation puts the total energy at -7.25 eV per atom.

---

Computed, not measured: a geometry-optimized La3TaO7 structure at the PBE-GGA level of DFT.

The structure belongs to space group Cmcm (No. 63); the cell edges are 11.2082, 7.6380 and 7.8292 Å and the angles 90.00°, 90.00° and 90.00°. Symmetry generates all atoms from La at (0.0000, 0.0000, 0.0000), La at (0.2281, 0.2937, 0.2500), Ta at (0.0000, 0.5000, 0.0000), O at (0.0000, 0.4407, 0.2500), O at (0.1248, 0.3135, 0.5308) and O at (0.1304, 0.0224, 0.2500).

As for the energy above the most stable polymorph in this dataset: 0 meV/atom.

---

Computed, not measured: a geometry-optimized La5Ta2O12 structure at the PBE-GGA level of DFT.

The structure belongs to space group C2/m (No. 12); the cell edges are 13.0439, 6.1272 and 7.8700 Å and the angles 90.00°, 107.40° and 90.00°. Symmetry generates all atoms from La at (0.0000, 0.0000, 0.0000), La at (0.1925, 0.5000, 0.3309), La at (0.1933, 0.5000, 0.8600), Ta at (0.0000, 0.2387, 0.5000), O at (0.0012, 0.0000, 0.6831), O at (0.0012, 0.5000, 0.3228), O at (0.1560, 0.2490, 0.0786) and O at (0.1584, 0.2622, 0.5783).

The calculation puts the total energy at -8.99 eV per atom.

---

Computed, not measured: a geometry-optimized LaTa3O9 structure at the PBE-GGA level of DFT.

The structure belongs to space group C2/m (No. 12); the cell edges are 16.7893, 5.5899 and 9.7578 Å and the angles 90.00°, 125.05° and 90.00°. Symmetry generates all atoms from La at (0.1688, 0.0000, 0.0010), Ta at (0.0762, 0.5000, 0.7407), Ta at (0.0844, 0.0000, 0.2516), Ta at (0.2476, 0.0000, 0.7349), O at (0.0000, 0.0000, 0.0000), O at (0.0000, 0.5000, 0.5000), O at (0.0092, 0.2405, 0.7674), O at (0.1653, 0.0000, 0.4966), O at (0.1651, 0.2409, 0.2333), O at (0.1739, 0.2497, 0.7716) and O at (0.1753, 0.5000, 0.9999).

As for the energy above the most stable polymorph in this dataset: 7 meV/atom.

---

Computed, not measured: a geometry-optimized LaTaO4 structure at the PBE-GGA level of DFT.

The structure belongs to space group Cmc2_1 (No. 36); the cell edges are 3.9732, 15.0036 and 5.6662 Å and the angles 90.00°, 90.00° and 90.00°. Symmetry generates all atoms from La at (0.0000, 0.1760, 0.0000), Ta at (0.0000, 0.4154, 0.0489), O at (0.0000, 0.0887, 0.5844), O at (0.0000, 0.3015, 0.2582), O at (0.0000, 0.3363, 0.7812) and O at (0.0000, 0.4716, 0.3876).

The calculation puts the total energy at -9.34 eV per atom.

---

Computed, not measured: a geometry-optimized La3TaO6 structure at the PBE-GGA level of DFT.

The structure belongs to space group Cmc2_1 (No. 36); the cell edges are 9.9131, 11.4129 and 5.7181 Å and the angles 90.00°, 90.00° and 90.00°. Symmetry generates all atoms from La at (0.0000, 0.1074, 0.0000), La at (0.2104, 0.3899, 0.9507), Ta at (0.0000, 0.3598, 0.4382), O at (0.0000, 0.2842, 0.7382), O at (0.0000, 0.4868, 0.1536), O at (0.1346, 0.2554, 0.2608) and O at (0.1494, 0.0141, 0.7189).

The calculation puts the total energy at -8.73 eV per atom.

---

Computed, not measured: a geometry-optimized LaTaO4 structure at the PBE-GGA level of DFT.

The structure belongs to space group P2_1/c (No. 14); the cell edges are 7.7637, 5.5886 and 7.8635 Å and the angles 90.00°, 101.05° and 90.00°. Symmetry generates all atoms from La at (0.1518, 0.2255, 0.3999), Ta at (0.3341, 0.7342, 0.1937), O at (0.1186, 0.5164, 0.1691), O at (0.1666, 0.5075, 0.6349), O at (0.3311, 0.6615, 0.9468) and O at (0.4478, 0.0816, 0.7915).

The calculation puts the total energy at -9.35 eV per atom.

---

Computed, not measured: a geometry-optimized LaTaO4 structure at the PBE-GGA level of DFT.

The structure belongs to space group P2_1/c (No. 14); the cell edges are 5.9501, 5.2071 and 5.8379 Å and the angles 90.00°, 106.39° and 90.00°. Symmetry generates all atoms from La at (0.0000, 0.0000, 0.0000), Ta at (0.5000, 0.0000, 0.5000), O at (0.1803, 0.1360, 0.3965) and O at (0.3940, 0.7305, 0.7069).

The calculation puts the total energy at -9.26 eV per atom.

---

Computed, not measured: a geometry-optimized LaTaO2 structure at the PBE-GGA level of DFT.

The structure belongs to space group R-3m (No. 166, hexagonal axes); the cell edges are 3.5110, 3.5110 and 18.3529 Å and the angles 90.00°, 90.00° and 120.00°. Symmetry generates all atoms from La at (0.0000, 0.0000, 0.0000), Ta at (0.0000, 0.0000, 0.5000) and O at (0.0000, 0.0000, 0.1298).

As for the energy above the most stable polymorph in this dataset: 337 meV/atom.

---

Computed, not measured: a geometry-optimized LaTaO2 structure at the PBE-GGA level of DFT.

The structure belongs to space group Fm-3m (No. 225); the cell edges are 6.0144, 6.0144 and 6.0144 Å and the angles 90.00°, 90.00° and 90.00°. Symmetry generates all atoms from La at (0.0000, 0.0000, 0.0000), Ta at (0.0000, 0.0000, 0.5000) and O at (0.2500, 0.2500, 0.2500).

As for the energy above the most stable polymorph in this dataset: 1006 meV/atom.

---

Computed, not measured: a geometry-optimized LaTa3O structure at the PBE-GGA level of DFT.

The structure belongs to space group Pm-3m (No. 221); the cell edges are 4.4897, 4.4897 and 4.4897 Å and the angles 90.00°, 90.00° and 90.00°. Symmetry generates all atoms from La at (0.0000, 0.0000, 0.0000), Ta at (0.0000, 0.5000, 0.5000) and O at (0.5000, 0.5000, 0.5000).

As for the energy above the most stable polymorph in this dataset: 0 meV/atom.

---

Computed, not measured: a geometry-optimized LaTaO4 structure at the PBE-GGA level of DFT.

The structure belongs to space group Pbca (No. 61); the cell edges are 7.6240, 7.9416 and 11.2361 Å and the angles 90.00°, 90.00° and 90.00°. Symmetry generates all atoms from La at (0.2235, 0.1307, 0.0276), Ta at (0.0017, 0.6211, 0.7527), O at (0.0162, 0.1272, 0.2277), O at (0.0646, 0.6424, 0.5783), O at (0.0824, 0.1012, 0.5857) and O at (0.2492, 0.6249, 0.8093).

The calculation puts the total energy at -9.33 eV per atom.

---

Number 1: V 145.8 Å³/cell, DOS(E_F) 0.91 states/eV/atom. Number 2: V 130.7 Å³/cell, DOS(E_F) 1.08 states/eV/atom. Number 3: V 545.1 Å³/cell, DOS(E_F) 0.00 states/eV/atom. Number 4: V 650.6 Å³/cell, DOS(E_F) 0.00 states/eV/atom. Number 5: V 421.2 Å³/cell, DOS(E_F) 1.39 states/eV/atom. Number 6: V 670.2 Å³/cell, DOS(E_F) 0.00 states/eV/atom. Number 7: V 600.2 Å³/cell, DOS(E_F) 0.13 states/eV/atom. Number 8: V 749.7 Å³/cell, DOS(E_F) 0.00 states/eV/atom. Number 9: V 337.8 Å³/cell, DOS(E_F) 0.00 states/eV/atom. Number 10: V 646.9 Å³/cell, DOS(E_F) 0.11 states/eV/atom. Number 11: V 334.9 Å³/cell, DOS(E_F) 0.00 states/eV/atom. Number 12: V 173.5 Å³/cell, DOS(E_F) 0.00 states/eV/atom. Number 13: V 195.9 Å³/cell, DOS(E_F) 0.55 states/eV/atom. Number 14: V 217.6 Å³/cell, DOS(E_F) 0.50 states/eV/atom. Number 15: V 90.5 Å³/cell, DOS(E_F) 1.01 states/eV/atom. Number 16: V 680.3 Å³/cell, DOS(E_F) 0.00 states/eV/atom.